# LaTaFe2 | Alexandria | PBE | relaxed
data_LaTaFe2
_cell_length_a 3.9886
_cell_length_b 3.9886
_cell_length_c 17.6989
_cell_angle_alpha 90.00
_cell_angle_beta 90.00
_cell_angle_gamma 120.00
_symmetry_space_group_name_H-M 'R 3 m'
_symmetry_Int_Tables_number 160
_symmetry_space_group_name_Hall 'R 3 -2"'
loop_
_atom_site_label
_atom_site_type_symbol
_atom_site_fract_x
_atom_site_fract_y
_atom_site_fract_z
_atom_site_occupancy
La1 La 0.0000 0.0000 0.0000 1
Ta1 Ta 0.0000 0.0000 0.1909 1
Fe1 Fe 0.0000 0.0000 0.4633 1
Fe2 Fe 0.0000 0.0000 0.7951 1
# ρ, g cm⁻³: 8.81
# Calculated total energy, eV per atom: -8.177
# ΔE_f, eV/atom: 0.249
# DOS at the Fermi energy, states/eV/f.u.: 5.1
# Size of the total moment, μB per cell: 4.60
# Crystal system: trigonal